Record 1
Compound: SmPOs2C
Source: the Alexandria database
Functional: PBE-GGA
Structure: optimized geometry

## Properties
* space group: No. 63
* E_form: -474 meV per atom

Geometry as CIF:
```
data_SmPOs2C
_space_group_name_H-M_alt 'P 1'
_space_group_IT_number 1
_space_group_name_Hall 'P 1'
_cell_length_a 5.876
_cell_length_b 5.876
_cell_length_c 7.106
_cell_angle_alpha 90.00
_cell_angle_beta 90.00
_cell_angle_gamma 141.27
loop_
_atom_site_label
_atom_site_fract_x
_atom_site_fract_y
_atom_site_fract_z
Sm1 0.046 0.954 0.750
Sm2 0.954 0.046 0.250
P1 0.230 0.770 0.250
P2 0.770 0.230 0.750
Os1 0.333 0.667 0.553
Os2 0.333 0.667 0.947
Os3 0.667 0.333 0.053
Os4 0.667 0.333 0.447
C1 0.500 0.500 0.000
C2 0.500 0.500 0.500
```

Record 2
Compound: SnP2OsC
Source: the Alexandria database
Functional: PBE-GGA
Structure: optimized geometry

## Properties
* space group: No. 123
* E_form: 1309 meV per atom

Geometry as CIF:
```
data_SnP2OsC
_space_group_name_H-M_alt 'P 1'
_space_group_IT_number 1
_space_group_name_Hall 'P 1'
_cell_length_a 4.005
_cell_length_b 4.005
_cell_length_c 4.505
_cell_angle_alpha 90.00
_cell_angle_beta 90.00
_cell_angle_gamma 90.00
loop_
_atom_site_label
_atom_site_fract_x
_atom_site_fract_y
_atom_site_fract_z
Sn1 0.000 0.000 0.000
P1 0.000 0.500 0.500
P2 0.500 0.000 0.500
Os1 0.500 0.500 0.000
C1 0.000 0.000 0.500
```

Record 3
Compound: SrP2OsC
Source: the Alexandria database
Functional: PBE-GGA
Structure: optimized geometry

## Properties
* space group: No. 123
* E_form: 1031 meV per atom

Geometry as CIF:
```
data_SrP2OsC
_space_group_name_H-M_alt 'P 1'
_space_group_IT_number 1
_space_group_name_Hall 'P 1'
_cell_length_a 4.428
_cell_length_b 4.428
_cell_length_c 6.396
_cell_angle_alpha 90.00
_cell_angle_beta 90.00
_cell_angle_gamma 90.00
loop_
_atom_site_label
_atom_site_fract_x
_atom_site_fract_y
_atom_site_fract_z
Sr1 0.000 0.000 0.000
P1 0.000 0.500 0.500
P2 0.500 0.000 0.500
Os1 0.000 0.000 0.500
C1 0.500 0.500 0.000
```

Record 4
Compound: TbPOs2C
Source: the Alexandria database
Functional: PBE-GGA
Structure: optimized geometry

## Properties
* space group: No. 63
* E_form: -490 meV per atom

Geometry as CIF:
```
data_TbPOs2C
_space_group_name_H-M_alt 'P 1'
_space_group_IT_number 1
_space_group_name_Hall 'P 1'
_cell_length_a 5.888
_cell_length_b 5.888
_cell_length_c 7.059
_cell_angle_alpha 90.00
_cell_angle_beta 90.00
_cell_angle_gamma 141.99
loop_
_atom_site_label
_atom_site_fract_x
_atom_site_fract_y
_atom_site_fract_z
Tb1 0.044 0.956 0.750
Tb2 0.956 0.044 0.250
P1 0.231 0.769 0.250
P2 0.769 0.231 0.750
Os1 0.334 0.666 0.552
Os2 0.334 0.666 0.948
Os3 0.666 0.334 0.052
Os4 0.666 0.334 0.448
C1 0.500 0.500 0.000
C2 0.500 0.500 0.500
```

Record 5
Compound: TcPOs2C
Source: the Alexandria database
Functional: PBE-GGA
Structure: optimized geometry

## Properties
* space group: No. 123
* E_form: 2149 meV per atom

Geometry as CIF:
```
data_TcPOs2C
_space_group_name_H-M_alt 'P 1'
_space_group_IT_number 1
_space_group_name_Hall 'P 1'
_cell_length_a 4.326
_cell_length_b 4.326
_cell_length_c 4.385
_cell_angle_alpha 90.00
_cell_angle_beta 90.00
_cell_angle_gamma 90.00
loop_
_atom_site_label
_atom_site_fract_x
_atom_site_fract_y
_atom_site_fract_z
Tc1 0.000 0.000 0.000
P1 0.000 0.000 0.500
Os1 0.000 0.500 0.500
Os2 0.500 0.000 0.500
C1 0.500 0.500 0.000
```

Record 6
Compound: Tc2POsC
Source: the Alexandria database
Functional: PBE-GGA
Structure: optimized geometry

## Properties
* space group: No. 123
* E_form: 1995 meV per atom

Geometry as CIF:
```
data_Tc2POsC
_space_group_name_H-M_alt 'P 1'
_space_group_IT_number 1
_space_group_name_Hall 'P 1'
_cell_length_a 4.372
_cell_length_b 4.372
_cell_length_c 4.311
_cell_angle_alpha 90.00
_cell_angle_beta 90.00
_cell_angle_gamma 90.00
loop_
_atom_site_label
_atom_site_fract_x
_atom_site_fract_y
_atom_site_fract_z
Tc1 0.000 0.500 0.000
Tc2 0.500 0.000 0.000
P1 0.000 0.000 0.000
Os1 0.000 0.000 0.500
C1 0.500 0.500 0.500
```

Record 7
Compound: TePOs2C
Source: the Alexandria database
Functional: PBE-GGA
Structure: optimized geometry

## Properties
* space group: No. 123
* formation energy (no corrections): 2843 meV/atom

Geometry as CIF:
```
data_TePOs2C
_space_group_name_H-M_alt 'P 1'
_space_group_IT_number 1
_space_group_name_Hall 'P 1'
_cell_length_a 4.934
_cell_length_b 4.934
_cell_length_c 4.016
_cell_angle_alpha 90.00
_cell_angle_beta 90.00
_cell_angle_gamma 90.00
loop_
_atom_site_label
_atom_site_fract_x
_atom_site_fract_y
_atom_site_fract_z
Te1 0.000 0.000 0.000
P1 0.500 0.500 0.500
Os1 0.000 0.500 0.000
Os2 0.500 0.000 0.000
C1 0.000 0.000 0.500
```

Record 8
Compound: Th4POsC2
Source: the Alexandria database
Functional: PBE-GGA
Structure: optimized geometry

## Properties
* space group: No. 10
* E_form: -465 meV per atom

Geometry as CIF:
```
data_Th4POsC2
_space_group_name_H-M_alt 'P 1'
_space_group_IT_number 1
_space_group_name_Hall 'P 1'
_cell_length_a 6.888
_cell_length_b 3.915
_cell_length_c 6.941
_cell_angle_alpha 90.00
_cell_angle_beta 108.45
_cell_angle_gamma 90.00
loop_
_atom_site_label
_atom_site_fract_x
_atom_site_fract_y
_atom_site_fract_z
Th1 0.231 0.000 0.230
Th2 0.255 0.500 0.777
Th3 0.745 0.500 0.223
Th4 0.769 0.000 0.770
P1 0.500 0.500 0.500
Os1 0.000 0.000 0.500
C1 0.000 0.500 0.000
C2 0.500 0.000 0.000
```

Record 9
Compound: P2OsWC
Source: the Alexandria database
Functional: PBE-GGA
Structure: optimized geometry

## Properties
* space group: No. 123
* E_form: 1132 meV per atom

Geometry as CIF:
```
data_P2OsWC
_space_group_name_H-M_alt 'P 1'
_space_group_IT_number 1
_space_group_name_Hall 'P 1'
_cell_length_a 4.199
_cell_length_b 4.199
_cell_length_c 3.777
_cell_angle_alpha 90.00
_cell_angle_beta 90.00
_cell_angle_gamma 90.00
loop_
_atom_site_label
_atom_site_fract_x
_atom_site_fract_y
_atom_site_fract_z
P1 0.000 0.500 0.000
P2 0.500 0.000 0.000
Os1 0.000 0.000 0.500
W1 0.500 0.500 0.500
C1 0.000 0.000 0.000
```

Record 10
Compound: YPOs2C
Source: the Alexandria database
Functional: PBE-GGA
Structure: optimized geometry

## Properties
* space group: No. 63
* E_form: -483 meV per atom

Geometry as CIF:
```
data_YPOs2C
_space_group_name_H-M_alt 'P 1'
_space_group_IT_number 1
_space_group_name_Hall 'P 1'
_cell_length_a 5.896
_cell_length_b 5.896
_cell_length_c 7.051
_cell_angle_alpha 90.00
_cell_angle_beta 90.00
_cell_angle_gamma 142.14
loop_
_atom_site_label
_atom_site_fract_x
_atom_site_fract_y
_atom_site_fract_z
Y1 0.044 0.956 0.750
Y2 0.956 0.044 0.250
P1 0.231 0.769 0.250
P2 0.769 0.231 0.750
Os1 0.334 0.666 0.552
Os2 0.334 0.666 0.948
Os3 0.666 0.334 0.052
Os4 0.666 0.334 0.448
C1 0.500 0.500 0.000
C2 0.500 0.500 0.500
```

Record 11
Compound: ZnP2OsC
Source: the Alexandria database
Functional: PBE-GGA
Structure: optimized geometry

## Properties
* space group: No. 123
* E_form: 1594 meV per atom

Geometry as CIF:
```
data_ZnP2OsC
_space_group_name_H-M_alt 'P 1'
_space_group_IT_number 1
_space_group_name_Hall 'P 1'
_cell_length_a 4.479
_cell_length_b 4.479
_cell_length_c 4.959
_cell_angle_alpha 90.00
_cell_angle_beta 90.00
_cell_angle_gamma 90.00
loop_
_atom_site_label
_atom_site_fract_x
_atom_site_fract_y
_atom_site_fract_z
Zn1 0.000 0.000 0.000
P1 0.000 0.500 0.500
P2 0.500 0.000 0.500
Os1 0.000 0.000 0.500
C1 0.500 0.500 0.000
```

Record 12
Compound: Zr2POsC
Source: the Alexandria database
Functional: PBE-GGA
Structure: optimized geometry

## Properties
* space group: No. 123
* E_form: 1124 meV per atom

Geometry as CIF:
```
data_Zr2POsC
_space_group_name_H-M_alt 'P 1'
_space_group_IT_number 1
_space_group_name_Hall 'P 1'
_cell_length_a 4.870
_cell_length_b 4.870
_cell_length_c 4.198
_cell_angle_alpha 90.00
_cell_angle_beta 90.00
_cell_angle_gamma 90.00
loop_
_atom_site_label
_atom_site_fract_x
_atom_site_fract_y
_atom_site_fract_z
Zr1 0.000 0.500 0.000
Zr2 0.500 0.000 0.000
P1 0.000 0.000 0.000
Os1 0.000 0.000 0.500
C1 0.500 0.500 0.500
```